# Ba3SrY2Sb2O12

A PBEsol-optimized structure of Ba3SrY2Sb2O12 (meta-GGA SCAN, Alexandria).

Calculated values
Symmetry: P1 (1)
Total energy in eV/atom: -20.25

```
Ba3SrY2Sb2O12
1.0
5.924 0.002 -0.003
2.963 5.142 -0.002
2.957 1.699 9.634
Ba Sr Y Sb O
3 1 2 2 12
Direct
0.626 0.625 0.125
0.125 0.125 0.624
0.374 0.375 0.875
0.870 0.875 0.379
0.999 0.000 0.002
0.500 0.500 0.498
0.249 0.250 0.252
0.751 0.750 0.748
0.100 0.605 0.132
0.612 0.103 0.626
0.888 0.395 0.869
0.416 0.897 0.371
0.304 0.422 0.374
0.836 0.895 0.872
0.669 0.607 0.623
0.175 0.097 0.128
0.892 0.313 0.366
0.390 0.845 0.864
0.612 0.163 0.139
0.110 0.658 0.633
```